Record 1
Entry from Alexandria via LeMat-Bulk: a relaxed Cd2InPt2 crystal (GGA-PBE).

It has space group P4/mbm (No. 127), with a = 8.1606 Å, b = 8.1606 Å, c = 2.9438 Å, α = 90.00°, β = 90.00° and γ = 90.00°. The distinct sites, in fractional coordinates, are Cd at (0.1285, 0.3715, 0.0000), In at (0.0000, 0.0000, 0.0000) and Pt at (0.1683, 0.6683, 0.5000).

Its density is 12.4 g cm⁻³. The calculation puts the energy of formation from the pure elements at -0.19 eV/atom. The calculation puts the energy above the lowest structure with this stoichiometry at 0.148 eV/atom. The calculation puts the magnetic moment at 0.00 μB per formula unit.

Record 2
Entry from Alexandria via LeMat-Bulk: a relaxed HfP2 crystal (GGA-PBE).

It has space group I4/mcm (No. 140), with a = 5.5960 Å, b = 5.5960 Å, c = 6.5390 Å, α = 90.00°, β = 90.00° and γ = 90.00°. The distinct sites, in fractional coordinates, are Hf at (0.0000, 0.0000, 0.2500) and P at (0.1376, 0.3624, 0.0000).

Its density is 7.8 g cm⁻³. The calculation puts the energy of formation from the pure elements at -0.92 eV/atom. The calculation puts the magnetic moment at 0.00 μB per formula unit.

Record 3
Entry from Alexandria via LeMat-Bulk: a relaxed K2LiLa crystal (GGA-PBE).

It has space group Cmmm (No. 65), with a = 7.7847 Å, b = 13.4509 Å, c = 3.5151 Å, α = 90.00°, β = 90.00° and γ = 90.00°. The distinct sites, in fractional coordinates, are K at (0.2500, 0.2500, 0.0000), Li at (0.0000, 0.0000, 0.5000) and La at (0.0000, 0.5000, 0.5000).

Its density is 2.0 g cm⁻³. The calculation puts the energy of formation from the pure elements at 0.42 eV/atom. The calculation puts the magnetic moment at 0.12 μB per formula unit.

Record 4
Entry from Alexandria via LeMat-Bulk: a relaxed CsCoPS2 crystal (GGA-PBE).

It has space group P4/mmm (No. 123), with a = 5.0319 Å, b = 5.0319 Å, c = 4.2820 Å, α = 90.00°, β = 90.00° and γ = 90.00°. The distinct sites, in fractional coordinates, are Cs at (0.0000, 0.0000, 0.0000), Co at (0.5000, 0.5000, 0.5000), P at (0.5000, 0.5000, 0.0000) and S at (0.0000, 0.5000, 0.5000).

Its density is 4.4 g cm⁻³. The calculation puts the energy above the lowest structure with this stoichiometry at 0.000 eV/atom. The formation energy from raw total energies comes out at 0.106 eV per atom. The calculation puts the magnetic moment at 1.31 μB per formula unit.

no.,VASP energy (eV for the cell shown)
1,-35.22
2,-94.11
3,-14.68
4,-21.10